VASP calculation (PBE) on Ta2NbFeW after structural relaxation.

Output
DOS(E_F) = 1.01 states/eV per atom
ΔH_f (0 K) = 1878 meV/atom
DFT total energy = -45.801 eV/cell

a = 4.8538 Å, b = 4.8538 Å, c = 4.2082 Å
α = 90.00°, β = 90.00°, γ = 90.00°
Last column: nearest neighbours and their distance in Å.
Fractional positions:
Ta1 0.0000 0.5000 0.0000  2 Nb 2.43
Ta2 0.5000 0.0000 0.0000  2 Nb 2.43
Nb1 0.0000 0.0000 0.0000  2 Fe 2.10
Fe1 0.0000 0.0000 0.5000  2 Nb 2.10
W1 0.5000 0.5000 0.5000  8 Ta 3.21, 4 Fe 3.43